Density functional theory data (GGA-PBEsol) for a relaxed MgIn2Co crystal.

The structure in CIF format:
```
data_MgIn2Co
_chemical_formula_sum 'Mg1 In2 Co1'
_space_group_name_H-M_alt 'P 1'
_space_group_IT_number 1
_space_group_name_Hall 'P 1'
_cell_length_a 3.0786
_cell_length_b 3.0788
_cell_length_c 7.7391
_cell_angle_alpha 90.00
_cell_angle_beta 90.44
_cell_angle_gamma 90.00
loop_
_atom_site_label
_atom_site_type_symbol
_atom_site_fract_x
_atom_site_fract_y
_atom_site_fract_z
Mg1 Mg 0.0000 0.0000 0.0000
In1 In 0.4966 0.5000 0.2966
In2 In 0.5034 0.5000 0.7034
Co1 Co 0.0000 0.0000 0.5000
```

Its space-group type is No. 10. For the total energy, the calculation gives -15.232 eV/cell. The volume comes out at 18.3 A^3/atom. For the density, the calculation gives 7.08 Mg/m³.


Density functional theory data (GGA-PBEsol) for a relaxed MgInCo3 crystal.

The structure in CIF format:
```
data_MgInCo3
_chemical_formula_sum 'Mg1 In1 Co3'
_space_group_name_H-M_alt 'P 1'
_space_group_IT_number 1
_space_group_name_Hall 'P 1'
_cell_length_a 4.2896
_cell_length_b 4.2896
_cell_length_c 4.2896
_cell_angle_alpha 90.00
_cell_angle_beta 90.00
_cell_angle_gamma 90.00
loop_
_atom_site_label
_atom_site_type_symbol
_atom_site_fract_x
_atom_site_fract_y
_atom_site_fract_z
Mg1 Mg 0.0000 0.0000 0.0000
In1 In 0.5000 0.5000 0.5000
Co1 Co 0.0000 0.0000 0.5000
Co2 Co 0.0000 0.5000 0.0000
Co3 Co 0.5000 0.0000 0.0000
```

Its space-group type is No. 221. For the total energy, the calculation gives -21.404 eV/cell. The volume comes out at 15.8 A^3/atom. For the density, the calculation gives 6.65 Mg/m³.


Density functional theory data (GGA-PBEsol) for a relaxed Mg2InCo2 crystal.

The structure in CIF format:
```
data_Mg2InCo2
_chemical_formula_sum 'Mg4 In2 Co4'
_space_group_name_H-M_alt 'P 1'
_space_group_IT_number 1
_space_group_name_Hall 'P 1'
_cell_length_a 6.3032
_cell_length_b 6.3032
_cell_length_c 4.0595
_cell_angle_alpha 90.00
_cell_angle_beta 90.00
_cell_angle_gamma 90.00
loop_
_atom_site_label
_atom_site_type_symbol
_atom_site_fract_x
_atom_site_fract_y
_atom_site_fract_z
Mg1 Mg 0.1665 0.3335 0.0000
Mg2 Mg 0.3335 0.8335 0.0000
Mg3 Mg 0.6665 0.1665 0.0000
Mg4 Mg 0.8335 0.6665 0.0000
In1 In 0.0000 0.0000 0.5000
In2 In 0.5000 0.5000 0.5000
Co1 Co 0.1227 0.6227 0.5000
Co2 Co 0.3773 0.1227 0.5000
Co3 Co 0.6227 0.8773 0.5000
Co4 Co 0.8773 0.3773 0.5000
```

Its space-group type is No. 127. For the total energy, the calculation gives -43.365 eV/cell. The volume comes out at 16.1 A^3/atom. For the density, the calculation gives 5.79 Mg/m³.


Density functional theory data (GGA-PBEsol) for a relaxed MgInCo2 crystal.

The structure in CIF format:
```
data_MgInCo2
_chemical_formula_sum 'Mg1 In1 Co2'
_space_group_name_H-M_alt 'P 1'
_space_group_IT_number 1
_space_group_name_Hall 'P 1'
_cell_length_a 8.4505
_cell_length_b 8.4505
_cell_length_c 8.4505
_cell_angle_alpha 19.65
_cell_angle_beta 19.65
_cell_angle_gamma 19.65
loop_
_atom_site_label
_atom_site_type_symbol
_atom_site_fract_x
_atom_site_fract_y
_atom_site_fract_z
Mg1 Mg 0.0000 0.0000 0.0000
In1 In 0.5000 0.5000 0.5000
Co1 Co 0.2497 0.2497 0.2497
Co2 Co 0.7503 0.7503 0.7503
```

Its space-group type is No. 166. For the total energy, the calculation gives -18.647 eV/cell. The volume comes out at 14.9 A^3/atom. For the density, the calculation gives 7.15 Mg/m³.


Density functional theory data (GGA-PBEsol) for a relaxed MgIn2Co crystal.

The structure in CIF format:
```
data_MgIn2Co
_chemical_formula_sum 'Mg1 In2 Co1'
_space_group_name_H-M_alt 'P 1'
_space_group_IT_number 1
_space_group_name_Hall 'P 1'
_cell_length_a 6.8323
_cell_length_b 6.8323
_cell_length_c 6.8323
_cell_angle_alpha 155.46
_cell_angle_beta 143.42
_cell_angle_gamma 44.54
loop_
_atom_site_label
_atom_site_type_symbol
_atom_site_fract_x
_atom_site_fract_y
_atom_site_fract_z
Mg1 Mg 0.0000 0.0000 0.0000
In1 In 0.3573 0.3573 0.0000
In2 In 0.6726 0.1726 0.5000
Co1 Co 0.1789 0.6789 0.5000
```

Its space-group type is No. 44. For the total energy, the calculation gives -15.415 eV/cell. The volume comes out at 19.7 A^3/atom. For the density, the calculation gives 6.60 Mg/m³.


Density functional theory data (GGA-PBEsol) for a relaxed MnInCo3 crystal.

The structure in CIF format:
```
data_MnInCo3
_chemical_formula_sum 'Mn1 In1 Co3'
_space_group_name_H-M_alt 'P 1'
_space_group_IT_number 1
_space_group_name_Hall 'P 1'
_cell_length_a 4.1394
_cell_length_b 4.1394
_cell_length_c 4.1394
_cell_angle_alpha 90.00
_cell_angle_beta 90.00
_cell_angle_gamma 90.00
loop_
_atom_site_label
_atom_site_type_symbol
_atom_site_fract_x
_atom_site_fract_y
_atom_site_fract_z
Mn1 Mn 0.0000 0.0000 0.0000
In1 In 0.5000 0.5000 0.5000
Co1 Co 0.0000 0.0000 0.5000
Co2 Co 0.0000 0.5000 0.0000
Co3 Co 0.5000 0.0000 0.0000
```

Its space-group type is No. 221. For the total energy, the calculation gives -30.980 eV/cell. The volume comes out at 14.2 A^3/atom. For the density, the calculation gives 8.11 Mg/m³.


Density functional theory data (GGA-PBEsol) for a relaxed In3CoMo crystal.

The structure in CIF format:
```
data_In3CoMo
_chemical_formula_sum 'In3 Co1 Mo1'
_space_group_name_H-M_alt 'P 1'
_space_group_IT_number 1
_space_group_name_Hall 'P 1'
_cell_length_a 5.1385
_cell_length_b 5.1385
_cell_length_c 5.1385
_cell_angle_alpha 90.00
_cell_angle_beta 90.00
_cell_angle_gamma 90.00
loop_
_atom_site_label
_atom_site_type_symbol
_atom_site_fract_x
_atom_site_fract_y
_atom_site_fract_z
In1 In 0.0000 0.0000 0.5000
In2 In 0.0000 0.5000 0.0000
In3 In 0.5000 0.0000 0.0000
Co1 Co 0.5000 0.5000 0.5000
Mo1 Mo 0.0000 0.0000 0.0000
```

Its space-group type is No. 221. For the total energy, the calculation gives -21.797 eV/cell. The volume comes out at 27.1 A^3/atom. For the density, the calculation gives 6.11 Mg/m³.


Density functional theory data (GGA-PBEsol) for a relaxed In3CoMo crystal.

The structure in CIF format:
```
data_In3CoMo
_chemical_formula_sum 'In3 Co1 Mo1'
_space_group_name_H-M_alt 'P 1'
_space_group_IT_number 1
_space_group_name_Hall 'P 1'
_cell_length_a 4.7612
_cell_length_b 4.7612
_cell_length_c 4.7612
_cell_angle_alpha 90.00
_cell_angle_beta 90.00
_cell_angle_gamma 90.00
loop_
_atom_site_label
_atom_site_type_symbol
_atom_site_fract_x
_atom_site_fract_y
_atom_site_fract_z
In1 In 0.0000 0.0000 0.5000
In2 In 0.0000 0.5000 0.0000
In3 In 0.5000 0.0000 0.0000
Co1 Co 0.0000 0.0000 0.0000
Mo1 Mo 0.5000 0.5000 0.5000
```

Its space-group type is No. 221. For the total energy, the calculation gives -24.194 eV/cell. The volume comes out at 21.6 A^3/atom. For the density, the calculation gives 7.68 Mg/m³.